[1]
VASP calculation (PBE) on a relaxed Pr2Mg7 crystal.

Summary:
formation energy from the elements	-0.6	eV/f.u.
D(E_F)	15.62	states/eV/cell
space group	R-3m, No. 166

a b c (Å): 15.344 15.344 15.344
angles (deg): 22.83 22.83 22.83
Fractional positions:
Pr: 0.052 0.052 0.052
Pr: 0.152 0.152 0.152
Pr: 0.848 0.848 0.848
Pr: 0.948 0.948 0.948
Mg: 0.000 0.500 0.500
Mg: 0.108 0.612 0.612
Mg: 0.278 0.278 0.278
Mg: 0.388 0.388 0.892
Mg: 0.388 0.892 0.388
Mg: 0.389 0.389 0.389
Mg: 0.500 0.000 0.500
Mg: 0.500 0.500 0.000
Mg: 0.500 0.500 0.500
Mg: 0.611 0.611 0.611
Mg: 0.612 0.108 0.612
Mg: 0.612 0.612 0.108
Mg: 0.722 0.722 0.722
Mg: 0.892 0.388 0.388

---

[2]
VASP calculation (PBE) on a relaxed Sr2CaInN crystal.

Summary:
D(E_F)	5.23	states/eV/cell
DFT total energy	-3.802	eV/atom
space group	P4/mmm, No. 123

a b c (Å): 5.382 5.382 4.865
angles (deg): 90.00 90.00 90.00
Fractional positions:
Sr: 0.000 0.500 0.000
Sr: 0.500 0.000 0.000
Ca: 0.000 0.000 0.500
In: 0.500 0.500 0.500
N: 0.000 0.000 0.000